Material: NaDyNb
Method: DFT, GGA-PBE
State: relaxed

Cell lengths 5.1067, 5.1067, 5.1067 Å; angles 60.00, 60.00, 60.00 degrees
Last column: nearest neighbours and their distance in Å.
Element x y z (fractional)
Na 0.0000 0.0000 0.0000  4 Nb 3.13
Dy 0.5000 0.5000 0.5000  4 Nb 3.13
Nb 0.7500 0.7500 0.7500  4 Dy 3.13, 4 Na 3.13

Properties
Space group: F-43m (216)
Total magnetization (μB per formula unit): 4.1
Relative energy among the computed polymorphs (eV per formula unit): 0.00